A geometry-optimized Pr4PdPtI2 structure. Source: Alexandria, functional PBE-GGA.

The space group is P2/m (No. 10) and the conventional cell measures 7.430, 4.327 and 8.522 Å, with angles of 90.00, 107.00 and 90.00 degrees. The distinct sites, in fractional coordinates, are Pr at (0.228, 0.000, 0.188), Pr at (0.266, 0.500, 0.811), Pd at (0.500, 0.000, 0.000), Pt at (0.000, 0.500, 0.000), I at (0.000, 0.000, 0.500) and I at (0.500, 0.500, 0.500).

The uncorrected formation energy comes out at -990 meV per atom. The calculation puts the calculated density at 7.090 g/cm³.



A geometry-optimized ZrScCdOs structure. Source: Alexandria, functional PBE-GGA.

The space group is P4mm (No. 99) and the conventional cell measures 3.266, 3.266 and 7.400 Å, with angles of 90.00, 90.00 and 90.00 degrees. The distinct sites, in fractional coordinates, are Zr at (0.000, 0.000, 0.000), Sc at (0.000, 0.000, 0.566), Cd at (0.500, 0.500, 0.291) and Os at (0.500, 0.500, 0.785).

The calculated formation energy comes out at -0.3762 eV/atom. The calculation puts the calculated density at 9.232 g/cm³.



A geometry-optimized CeGaHgAu structure. Source: Alexandria, functional PBE-GGA.

The space group is F-43m (No. 216) and the conventional cell measures 7.118, 7.118 and 7.118 Å, with angles of 90.00, 90.00 and 90.00 degrees. The distinct sites, in fractional coordinates, are Ce at (0.000, 0.000, 0.000), Ga at (0.000, 0.000, 0.500), Hg at (0.250, 0.250, 0.750) and Au at (0.250, 0.250, 0.250).

The calculated formation energy comes out at -0.4396 eV/atom. The calculation puts the calculated density at 11.188 g/cm³.



A geometry-optimized CePr2Hg8 structure. Source: Alexandria, functional PBE-GGA.

The space group is Immm (No. 71) and the conventional cell measures 5.295, 7.380 and 15.179 Å, with angles of 90.00, 90.00 and 90.00 degrees. The distinct sites, in fractional coordinates, are Ce at (0.000, 0.000, 0.000), Pr at (0.000, 0.000, 0.310), Hg at (0.000, 0.214, 0.500), Hg at (0.000, 0.286, 0.149) and Hg at (0.000, 0.500, 0.343).

The calculated formation energy comes out at -0.3202 eV/atom. The calculation puts the calculated density at 11.346 g/cm³.



A geometry-optimized TaRe3Sb structure. Source: Alexandria, functional PBE-GGA.

The space group is Pm-3m (No. 221) and the conventional cell measures 4.730, 4.730 and 4.730 Å, with angles of 90.00, 90.00 and 90.00 degrees. The distinct sites, in fractional coordinates, are Ta at (0.000, 0.000, 0.000), Re at (0.000, 0.500, 0.500) and Sb at (0.500, 0.500, 0.500).

The uncorrected formation energy comes out at 2415 meV per atom. The calculation puts the calculated density at 13.518 g/cm³.



A geometry-optimized CaReN2F structure. Source: Alexandria, functional PBE-GGA.

The space group is P4/mmm (No. 123) and the conventional cell measures 4.465, 4.465 and 4.029 Å, with angles of 90.00, 90.00 and 90.00 degrees. The distinct sites, in fractional coordinates, are Ca at (0.000, 0.000, 0.000), Re at (0.500, 0.500, 0.500), N at (0.000, 0.500, 0.000) and F at (0.000, 0.000, 0.500).

The uncorrected formation energy comes out at 1244 meV per atom. The calculation puts the calculated density at 5.650 g/cm³.



A geometry-optimized CaThSi2 structure. Source: Alexandria, functional PBE-GGA.

The space group is Cmcm (No. 63) and the conventional cell measures 4.433, 13.328 and 6.542 Å, with angles of 90.00, 90.00 and 90.00 degrees. The distinct sites, in fractional coordinates, are Ca at (0.000, 0.224, 0.250), Th at (0.000, 0.050, 0.750) and Si at (0.000, 0.409, 0.561).

The uncorrected formation energy comes out at -565 meV per atom. The calculation puts the calculated density at 5.642 g/cm³.



A geometry-optimized Pr12Ga6C structure. Source: Alexandria, functional PBE-GGA.

The space group is R-3 (No. 148, hexagonal axes) and the conventional cell measures 12.1094, 12.1094 and 13.3062 Å, with angles of 90.00, 90.00 and 120.00 degrees. The distinct sites, in fractional coordinates, are Pr at (0.0374, 0.8385, 0.3869), Pr at (0.0418, 0.1878, 0.8868), Ga at (0.0077, 0.6025, 0.2577) and C at (0.0000, 0.0000, 0.0000).

The calculated formation energy comes out at -0.3151 eV/atom. The calculation puts the calculated density at 6.254 g/cm³.